The following is a DFT calculation (GGA-PBE) of a relaxed CeDy2YEr crystal.

Calculated values
* energy: -49.166 eV for the cell shown
* theoretical density: 7.46 Mg/m³
* DOS at the Fermi energy: 1.966 states/eV per atom

Cell: 6.825 7.988 5.889 Å, 90.01 90.00 90.00°
Last column: magnetic moment on the atom in μB.
Fractional coordinates of all 10 atoms:
Er 0.162 0.500 0.750  0.02
Dy 0.690 0.698 0.750  0.06
Er 0.838 0.500 0.250  0.02
Ce 0.000 0.000 0.000  1.05
Y 0.409 0.000 0.750  0.07
Dy 0.690 0.302 0.750  0.06
Y 0.591 0.000 0.250  0.07
Dy 0.310 0.302 0.250  0.06
Ce 0.000 0.000 0.500  1.05
Dy 0.310 0.698 0.250  0.06